This record from the Alexandria database describes a relaxed Li2Pu2VO6 crystal. The functional is PBE+U.

```
data_Li2Pu2VO6
_cell_length_a 5.5989
_cell_length_b 5.5989
_cell_length_c 14.8333
_cell_angle_alpha 90.00
_cell_angle_beta 90.00
_cell_angle_gamma 120.00
_symmetry_space_group_name_H-M 'R -3 m'
_symmetry_Int_Tables_number 166
_symmetry_space_group_name_Hall '-R 3 2"'
loop_
_atom_site_label
_atom_site_fract_x
_atom_site_fract_y
_atom_site_fract_z
_atom_site_occupancy
Li1 0.0000 0.0000 0.0770 1
Pu1 0.0000 0.0000 0.2928 1
V1 0.0000 0.0000 0.5000 1
O1 0.0316 0.5158 0.2567 1
```

**Magnetic moment**: 11.00 μB per formula unit
**Total energy**: -8.50 eV/atom